(1)
A plane-wave DFT calculation with PBE-GGA was carried out for an optimized crystal structure of PmSm3Tm.

The structure in CIF format:
```
data_PmSm3Tm
_cell_length_a 6.324
_cell_length_b 5.780
_cell_length_c 9.670
_cell_angle_alpha 90.00
_cell_angle_beta 108.98
_cell_angle_gamma 90.00
_symmetry_space_group_name_H-M 'P 1 21/m 1'
_symmetry_Int_Tables_number 11
loop_
_symmetry_equiv_pos_as_xyz
'x,y,z'
'-x,-y,-z'
'-x,y+1/2,-z'
'x,-y+1/2,z'
loop_
_atom_site_label
_atom_site_type_symbol
_atom_site_fract_x
_atom_site_fract_y
_atom_site_fract_z
Pm1 Pm 0.034 0.250 0.398
Sm1 Sm 0.168 0.750 0.001
Sm2 Sm 0.234 0.250 0.801
Sm3 Sm 0.367 0.750 0.399
Tm1 Tm 0.435 0.250 0.199
```

Summary:
energy above the most stable polymorph in this dataset	0.000	eV per atom
energy of formation	0.02	eV per atom


(2)
A plane-wave DFT calculation with PBE-GGA was carried out for an optimized crystal structure of AgSb2As2.

The structure in CIF format:
```
data_AgSb2As2
_cell_length_a 7.839
_cell_length_b 7.839
_cell_length_c 3.944
_cell_angle_alpha 90.00
_cell_angle_beta 90.00
_cell_angle_gamma 90.00
_symmetry_space_group_name_H-M 'P 4/m b m'
_symmetry_Int_Tables_number 127
_symmetry_space_group_name_Hall '-P 4 2ab'
loop_
_atom_site_label
_atom_site_type_symbol
_atom_site_fract_x
_atom_site_fract_y
_atom_site_fract_z
Ag1 Ag 0.000 0.000 0.000
Sb1 Sb 0.163 0.337 0.500
As1 As 0.168 0.668 0.000
```

Summary:
energy above the most stable polymorph in this dataset	0.036	eV per atom
energy relative to the elements, uncorrected	0.261	eV per atom


(3)
A plane-wave DFT calculation with PBE-GGA was carried out for an optimized crystal structure of CaTm2Ag2Pb2.

The structure in CIF format:
```
data_CaTm2Ag2Pb2
_cell_length_a 4.9297
_cell_length_b 4.9297
_cell_length_c 26.7751
_cell_angle_alpha 90.00
_cell_angle_beta 90.00
_cell_angle_gamma 120.00
_symmetry_space_group_name_H-M 'R -3 m'
_symmetry_Int_Tables_number 166
_symmetry_space_group_name_Hall '-R 3 2"'
loop_
_atom_site_label
_atom_site_type_symbol
_atom_site_fract_x
_atom_site_fract_y
_atom_site_fract_z
Ca1 Ca 0.0000 0.0000 0.0000
Tm1 Tm 0.0000 0.0000 0.1357
Ag1 Ag 0.0000 0.0000 0.4453
Pb1 Pb 0.0000 0.0000 0.2621
```

Summary:
energy of formation	-0.31	eV per atom


(4)
A plane-wave DFT calculation with PBE-GGA was carried out for an optimized crystal structure of La2Y3Hg3.

The structure in CIF format:
```
data_La2Y3Hg3
_cell_length_a 3.807
_cell_length_b 5.291
_cell_length_c 22.873
_cell_angle_alpha 90.00
_cell_angle_beta 90.00
_cell_angle_gamma 90.00
_symmetry_space_group_name_H-M 'I m m m'
_symmetry_Int_Tables_number 71
_symmetry_space_group_name_Hall '-I 2 2'
loop_
_atom_site_label
_atom_site_type_symbol
_atom_site_fract_x
_atom_site_fract_y
_atom_site_fract_z
La1 La 0.000 0.000 0.229
Y1 Y 0.000 0.000 0.000
Y2 Y 0.000 0.500 0.116
Hg1 Hg 0.000 0.000 0.500
Hg2 Hg 0.000 0.500 0.389
```

Summary:
energy of formation	-0.36	eV per atom


(5)
A plane-wave DFT calculation with PBE-GGA was carried out for an optimized crystal structure of Mg3GaSb.

The structure in CIF format:
```
data_Mg3GaSb
_cell_length_a 5.043
_cell_length_b 5.043
_cell_length_c 5.043
_cell_angle_alpha 90.00
_cell_angle_beta 90.00
_cell_angle_gamma 90.00
_symmetry_space_group_name_H-M 'P m -3 m'
_symmetry_Int_Tables_number 221
_symmetry_space_group_name_Hall '-P 4 2 3'
loop_
_atom_site_label
_atom_site_type_symbol
_atom_site_fract_x
_atom_site_fract_y
_atom_site_fract_z
Mg1 Mg 0.000 0.000 0.500
Ga1 Ga 0.000 0.000 0.000
Sb1 Sb 0.500 0.500 0.500
```

Summary:
energy above the most stable polymorph in this dataset	0.255	eV per atom
energy relative to the elements, uncorrected	0.116	eV per atom


(6)
A plane-wave DFT calculation with PBE-GGA was carried out for an optimized crystal structure of PrGa2SiPd.

The structure in CIF format:
```
data_PrGa2SiPd
_cell_length_a 4.194
_cell_length_b 4.208
_cell_length_c 10.683
_cell_angle_alpha 90.00
_cell_angle_beta 90.00
_cell_angle_gamma 90.00
_symmetry_space_group_name_H-M 'I m m 2'
_symmetry_Int_Tables_number 44
loop_
_symmetry_equiv_pos_as_xyz
'x,y,z'
'-x,-y,z'
'-x,y,z'
'x,-y,z'
'x+1/2,y+1/2,z+1/2'
'-x+1/2,-y+1/2,z+1/2'
'-x+1/2,y+1/2,z+1/2'
'x+1/2,-y+1/2,z+1/2'
loop_
_atom_site_label
_atom_site_type_symbol
_atom_site_fract_x
_atom_site_fract_y
_atom_site_fract_z
Pr1 Pr 0.000 0.000 0.000
Ga1 Ga 0.000 0.000 0.385
Ga2 Ga 0.000 0.500 0.250
Si1 Si 0.000 0.000 0.615
Pd1 Pd 0.000 0.500 0.740
```

Summary:
energy relative to the elements, uncorrected	-0.711	eV per atom


(7)
A plane-wave DFT calculation with PBE-GGA was carried out for an optimized crystal structure of SmErHf.

The structure in CIF format:
```
data_SmErHf
_cell_length_a 5.3802
_cell_length_b 5.3802
_cell_length_c 3.3648
_cell_angle_alpha 90.00
_cell_angle_beta 90.00
_cell_angle_gamma 120.00
_symmetry_space_group_name_H-M 'P -6 m 2'
_symmetry_Int_Tables_number 187
_symmetry_space_group_name_Hall 'P -6 2'
loop_
_atom_site_label
_atom_site_type_symbol
_atom_site_fract_x
_atom_site_fract_y
_atom_site_fract_z
Sm1 Sm 0.0000 0.0000 0.0000
Er1 Er 0.3333 0.6667 0.5000
Hf1 Hf 0.6667 0.3333 0.5000
```

Summary:
energy above the most stable polymorph in this dataset	0.102	eV per atom
energy of formation	0.23	eV per atom


(8)
A plane-wave DFT calculation with PBE-GGA was carried out for an optimized crystal structure of LiY2Re.

The structure in CIF format:
```
data_LiY2Re
_cell_length_a 3.480
_cell_length_b 3.480
_cell_length_c 7.942
_cell_angle_alpha 90.00
_cell_angle_beta 90.00
_cell_angle_gamma 90.00
_symmetry_space_group_name_H-M 'P 4/m m m'
_symmetry_Int_Tables_number 123
_symmetry_space_group_name_Hall '-P 4 2'
loop_
_atom_site_label
_atom_site_type_symbol
_atom_site_fract_x
_atom_site_fract_y
_atom_site_fract_z
Li1 Li 0.000 0.000 0.000
Y1 Y 0.500 0.500 0.293
Re1 Re 0.000 0.000 0.500
```

Summary:
energy of formation	0.10	eV per atom


(9)
A plane-wave DFT calculation with PBE-GGA was carried out for an optimized crystal structure of PmThHg4.

The structure in CIF format:
```
data_PmThHg4
_cell_length_a 8.508
_cell_length_b 8.756
_cell_length_c 5.067
_cell_angle_alpha 90.00
_cell_angle_beta 126.29
_cell_angle_gamma 90.00
_symmetry_space_group_name_H-M 'C 1 2/m 1'
_symmetry_Int_Tables_number 12
loop_
_symmetry_equiv_pos_as_xyz
'x,y,z'
'-x,-y,-z'
'-x,y,-z'
'x,-y,z'
'x+1/2,y+1/2,z'
'-x+1/2,-y+1/2,-z'
'-x+1/2,y+1/2,-z'
'x+1/2,-y+1/2,z'
loop_
_atom_site_label
_atom_site_type_symbol
_atom_site_fract_x
_atom_site_fract_y
_atom_site_fract_z
Pm1 Pm 0.000 0.000 0.000
Th1 Th 0.000 0.500 0.500
Hg1 Hg 0.245 0.333 0.245
```

Summary:
energy above the most stable polymorph in this dataset	0.000	eV per atom
energy of formation	-0.34	eV per atom


(10)
A plane-wave DFT calculation with PBE-GGA was carried out for an optimized crystal structure of CaLaIn.

The structure in CIF format:
```
data_CaLaIn
_cell_length_a 5.4298
_cell_length_b 5.4298
_cell_length_c 3.8021
_cell_angle_alpha 90.00
_cell_angle_beta 90.00
_cell_angle_gamma 120.00
_symmetry_space_group_name_H-M 'P 3 m 1'
_symmetry_Int_Tables_number 156
loop_
_symmetry_equiv_pos_as_xyz
'x,y,z'
'-y,x-y,z'
'-x+y,-x,z'
'-y,-x,z'
'-x+y,y,z'
'x,x-y,z'
loop_
_atom_site_label
_atom_site_type_symbol
_atom_site_fract_x
_atom_site_fract_y
_atom_site_fract_z
Ca1 Ca 0.0000 0.0000 0.0000
La1 La 0.3333 0.6667 0.5644
In1 In 0.6667 0.3333 0.2121
```

Summary:
energy above the most stable polymorph in this dataset	0.192	eV per atom
energy of formation	-0.25	eV per atom


(11)
A plane-wave DFT calculation with PBE-GGA was carried out for an optimized crystal structure of Ir3Ru4Rh.

The structure in CIF format:
```
data_Ir3Ru4Rh
_cell_length_a 8.825
_cell_length_b 5.435
_cell_length_c 4.727
_cell_angle_alpha 90.00
_cell_angle_beta 90.00
_cell_angle_gamma 90.00
_symmetry_space_group_name_H-M 'P m m a'
_symmetry_Int_Tables_number 51
loop_
_symmetry_equiv_pos_as_xyz
'x,y,z'
'-x,-y,-z'
'-x+1/2,-y,z'
'x+1/2,y,-z'
'x+1/2,-y,-z'
'-x+1/2,y,z'
'-x,y,-z'
'x,-y,z'
loop_
_atom_site_label
_atom_site_type_symbol
_atom_site_fract_x
_atom_site_fract_y
_atom_site_fract_z
Ir1 Ir 0.000 0.000 0.000
Ir2 Ir 0.250 0.000 0.332
Ir3 Ir 0.250 0.500 0.333
Ru1 Ru 0.000 0.248 0.500
Ru2 Ru 0.250 0.252 0.832
Rh1 Rh 0.000 0.500 0.000
```

Summary:
energy above the most stable polymorph in this dataset	0.000	eV per atom
energy of formation	-0.01	eV per atom


(12)
A plane-wave DFT calculation with PBE-GGA was carried out for an optimized crystal structure of Hg2SbRu.

The structure in CIF format:
```
data_Hg2SbRu
_cell_length_a 3.064
_cell_length_b 4.296
_cell_length_c 13.824
_cell_angle_alpha 90.00
_cell_angle_beta 90.00
_cell_angle_gamma 90.00
_symmetry_space_group_name_H-M 'I m m m'
_symmetry_Int_Tables_number 71
_symmetry_space_group_name_Hall '-I 2 2'
loop_
_atom_site_label
_atom_site_type_symbol
_atom_site_fract_x
_atom_site_fract_y
_atom_site_fract_z
Hg1 Hg 0.000 0.000 0.188
Sb1 Sb 0.000 0.500 0.000
Ru1 Ru 0.000 0.500 0.500
```

Summary:
energy relative to the elements, uncorrected	0.254	eV per atom


(13)
A plane-wave DFT calculation with PBE-GGA was carried out for an optimized crystal structure of ZnTeP2Cl.

The structure in CIF format:
```
data_ZnTeP2Cl
_cell_length_a 4.817
_cell_length_b 4.817
_cell_length_c 4.600
_cell_angle_alpha 90.00
_cell_angle_beta 90.00
_cell_angle_gamma 90.00
_symmetry_space_group_name_H-M 'P 4/m m m'
_symmetry_Int_Tables_number 123
_symmetry_space_group_name_Hall '-P 4 2'
loop_
_atom_site_label
_atom_site_type_symbol
_atom_site_fract_x
_atom_site_fract_y
_atom_site_fract_z
Zn1 Zn 0.000 0.000 0.000
Te1 Te 0.500 0.500 0.500
P1 P 0.000 0.500 0.000
Cl1 Cl 0.000 0.000 0.500
```

Summary:
energy above the most stable polymorph in this dataset	0.000	eV per atom
energy relative to the elements, uncorrected	0.527	eV per atom


Results for magnetic moment: 0.0; 0.0; 0.0; 0.0; 0.0; 0.0; 0.3; 0.0; 0.0; 0.0; 0.0; 0.0; 0.0 (in μB per cell, following the order of the records).